Below is RbInTeBr2 after structural relaxation, with properties calculated at the PBE-GGA level.

Properties
total DFT energy (no corrections): -2.852 eV/atom
magnetic moment: 0.042 μB/atom

Geometry as POSCAR:
```
RbInTeBr2
1.0
5.7324 0.0000 0.0000
0.0000 5.7324 0.0000
0.0000 0.0000 5.7122
Rb In Te Br
1 1 1 2
direct
0.0000 0.0000 0.0000
0.5000 0.5000 0.5000
0.5000 0.5000 0.0000
0.0000 0.5000 0.5000
0.5000 0.0000 0.5000
```



Below is RbInTeBr2 after structural relaxation, with properties calculated at the PBE-GGA level.

Properties
total DFT energy (no corrections): -2.442 eV/atom
magnetic moment: 0.218 μB/atom

Geometry as POSCAR:
```
RbInTeBr2
1.0
5.5329 0.0000 0.0000
0.0000 5.5329 0.0000
0.0000 0.0000 10.4709
Rb In Te Br
1 1 1 2
direct
0.0000 0.0000 0.0000
0.0000 0.0000 0.5000
0.5000 0.5000 0.0000
0.0000 0.5000 0.5000
0.5000 0.0000 0.5000
```



Below is Rb2InTeBr6 after structural relaxation, with properties calculated at the PBE-GGA level.

Properties
total DFT energy (no corrections): -2.737 eV/atom
magnetic moment: 0.000 μB/atom

Geometry as POSCAR:
```
Rb2InTeBr6
1.0
-4.0209 4.0209 6.1533
4.0209 -4.0209 6.1533
4.0209 4.0209 -6.1533
Rb In Te Br
2 1 1 6
direct
0.2500 0.7500 0.5000
0.7500 0.2500 0.5000
0.0000 0.0000 0.0000
0.5000 0.5000 0.0000
0.2269 0.2269 0.0000
0.2536 0.2536 0.5071
0.2536 0.7464 0.0000
0.7464 0.2536 0.0000
0.7464 0.7464 0.4929
0.7731 0.7731 0.0000
```



Below is RbThIn2Br8 after structural relaxation, with properties calculated at the PBE-GGA level.

Properties
total DFT energy (no corrections): -3.529 eV/atom
magnetic moment: 0.000 μB/atom

Geometry as POSCAR:
```
RbThIn2Br8
1.0
7.0119 0.0000 0.0000
0.0435 7.3996 0.0000
0.0123 0.0061 9.6650
Rb Th In Br
1 1 2 8
direct
0.0000 0.0000 0.0000
0.0000 0.0000 0.5000
0.4996 0.5001 0.2367
0.5004 0.4999 0.7633
0.2368 0.3126 0.5001
0.2370 0.8462 0.7109
0.2375 0.8468 0.2888
0.2844 0.3711 0.0001
0.7156 0.6289 0.9999
0.7625 0.1532 0.7112
0.7630 0.1538 0.2891
0.7632 0.6874 0.4999
```